[1]
A plane-wave DFT calculation with PBE was carried out for a relaxed Pd5Pt2Pb crystal.

## Properties
space-group type: I4/mcm, No. 140
ΔE_f: 0.02 eV per atom
M_tot: 0.00 μB per formula unit

```
Pd5Pt2Pb
1.0
-3.455 3.455 5.730
3.455 -3.455 5.730
3.455 3.455 -5.730
Pd Pt Pb
10 4 2
Cartesian
0.000 0.000 0.000
2.428 -1.027 1.850
4.483 -1.027 3.880
4.483 1.027 1.850
2.428 1.027 3.880
0.000 0.000 5.730
1.027 2.428 1.850
-1.027 2.428 3.880
-1.027 4.483 1.850
1.027 4.483 3.880
2.470 0.985 0.000
2.470 -0.985 5.730
0.985 4.440 0.000
0.985 2.470 5.730
0.000 0.000 2.865
0.000 0.000 8.596
```

---

[2]
A plane-wave DFT calculation with PBE was carried out for a relaxed Pd4Pt4Pb crystal.

## Properties
space-group type: I4/mmm, No. 139
ΔE_f: -0.10 eV per atom
M_tot: 0.00 μB per formula unit

```
Pd4Pt4Pb
1.0
-4.280 4.280 1.997
4.280 -4.280 1.997
4.280 4.280 -1.997
Pd Pt Pb
4 4 1
Cartesian
1.447 1.447 0.000
2.833 -2.833 1.997
-2.833 2.833 1.997
2.833 2.833 1.997
4.280 1.390 0.000
1.390 4.280 0.000
2.890 0.000 1.997
0.000 2.890 1.997
0.000 0.000 1.997
```

---

[3]
A plane-wave DFT calculation with PBE was carried out for a relaxed Pd8PtPb2 crystal.

## Properties
space-group type: Immm, No. 71
ΔE_f: -0.16 eV per atom
M_tot: 0.00 μB per formula unit

```
Pd8PtPb2
1.0
-2.032 4.023 5.907
2.032 -4.023 5.907
2.032 4.023 -5.907
Pd Pt Pb
8 1 2
Cartesian
2.032 2.011 -1.908
0.000 0.000 1.972
0.000 1.968 0.000
2.032 2.011 1.908
0.000 2.011 3.999
0.000 6.077 0.000
0.000 0.000 9.842
0.000 2.011 7.815
2.032 0.000 0.000
2.032 0.000 4.035
0.000 4.023 1.873
```

---

[4]
A plane-wave DFT calculation with PBE was carried out for a relaxed PdPt2Pb crystal.

## Properties
space-group type: I-42d, No. 122
ΔE_f: 0.03 eV per atom
M_tot: 0.00 μB per formula unit

```
PdPt2Pb
1.0
-1.970 1.970 9.802
1.970 -1.970 9.802
1.970 1.970 -9.802
Pd Pt Pb
2 4 2
Cartesian
0.000 0.000 0.000
0.000 1.970 4.901
2.956 0.928 -2.451
0.928 0.985 2.451
-0.985 1.042 7.352
1.042 0.985 12.253
1.970 0.000 4.901
0.000 0.000 9.802
```

---

[5]
A plane-wave DFT calculation with PBE was carried out for a relaxed Pd8Pt2Pb crystal.

## Properties
space-group type: C2/m, No. 12
ΔE_f: -0.11 eV per atom
M_tot: 0.00 μB per formula unit

```
Pd8Pt2Pb
1.0
7.226 -2.011 0.000
7.226 2.011 0.000
-1.591 0.000 6.074
Pd Pt Pb
8 2 1
Cartesian
0.330 0.000 1.359
0.909 0.000 4.170
3.619 0.000 3.587
5.821 0.000 0.252
7.041 0.000 5.823
9.242 0.000 2.488
11.953 0.000 1.905
12.532 0.000 4.716
3.064 0.000 0.811
9.798 0.000 5.263
6.431 0.000 3.037
```

---

[6]
A plane-wave DFT calculation with PBE was carried out for a relaxed Pd6Pt2Pb crystal.

## Properties
space-group type: C2/c, No. 15
ΔE_f: -0.05 eV per atom
M_tot: 0.00 μB per formula unit

```
Pd6Pt2Pb
1.0
6.509 -4.813 0.000
6.509 4.813 0.000
-0.827 0.000 4.742
Pd Pt Pb
12 4 2
Cartesian
4.983 3.664 4.574
3.408 1.212 0.702
6.792 3.664 2.539
4.413 1.213 3.313
2.994 -1.212 3.073
7.363 1.213 3.800
4.827 -1.213 0.942
9.195 1.212 1.669
7.777 -1.213 1.429
5.397 -3.664 2.203
8.782 -1.212 4.040
7.206 -3.664 0.168
1.676 1.201 2.804
2.089 -1.201 0.433
10.100 1.201 4.310
10.514 -1.201 1.938
6.302 1.305 1.186
5.888 -1.305 3.557
```

---

[7]
A plane-wave DFT calculation with PBE was carried out for a relaxed Pd3Pt2Pb2 crystal.

## Properties
space-group type: C2/m, No. 12
ΔE_f: -0.16 eV per atom
M_tot: 0.00 μB per formula unit

```
Pd3Pt2Pb2
1.0
4.554 -1.973 0.000
4.554 1.973 0.000
-3.633 0.000 7.398
Pd Pt Pb
3 2 2
Cartesian
0.000 0.000 0.000
0.920 0.000 2.760
4.555 0.000 4.638
-0.933 0.000 6.477
6.408 0.000 0.922
1.863 0.000 5.395
3.611 0.000 2.003
```

---

[8]
A plane-wave DFT calculation with PBE was carried out for a relaxed PdPtPb4 crystal.

## Properties
space-group type: C2/c, No. 15
ΔE_f: -0.19 eV per atom
M_tot: 0.00 μB per formula unit

```
PdPtPb4
1.0
4.807 -4.813 0.000
4.807 4.813 0.000
-4.796 0.000 6.804
Pd Pt Pb
2 2 8
Cartesian
1.210 3.609 5.103
3.608 -3.609 1.701
3.608 1.203 1.701
1.210 -1.203 5.103
1.204 1.202 0.001
3.614 -1.202 6.803
-1.194 -1.202 3.403
1.205 1.204 3.401
-1.193 -1.204 6.803
6.011 1.204 0.001
6.012 1.202 3.401
3.613 -1.204 3.403
```